A plane-wave DFT calculation with PBE was carried out for a geometry-optimized Sm2OsO4 structure.

SG: No. 141
Magnetization in μB/cell: 8.08
E_tot in eV/cell: -106.33

Cell lengths 6.8180, 6.8180, 6.8180 Å; angles 119.97, 119.97, 90.05 degrees
Closest atoms and distances in Å follow each position.
Positions (direct):
1 Sm 0.0000 0.0000 0.0000  6 O 2.34
2 Sm 0.0000 0.0000 0.5000  6 O 2.34
3 Sm 0.0000 0.5000 0.0000  6 O 2.34
4 Sm 0.5000 0.0000 0.5000  6 O 2.34
5 Os 0.3750 0.6250 0.7500  4 O 2.21
6 Os 0.6250 0.3750 0.2500  4 O 2.21
7 O 0.2276 0.2425 0.9851  1 Os 2.21, 3 Sm 2.34
8 O 0.2425 0.2276 0.4851  1 Os 2.21, 3 Sm 2.34
9 O 0.2425 0.7574 0.0149  1 Os 2.21, 3 Sm 2.34
10 O 0.2426 0.7575 0.4851  1 Os 2.21, 3 Sm 2.34
11 O 0.7574 0.2425 0.5149  1 Os 2.21, 3 Sm 2.34
12 O 0.7575 0.2426 0.9851  1 Os 2.21, 3 Sm 2.34
13 O 0.7575 0.7724 0.5149  1 Os 2.21, 3 Sm 2.34
14 O 0.7724 0.7575 0.0149  1 Os 2.21, 3 Sm 2.34